Entry 1:
## Ba4MnN4 (PBE)

Data for a geometry-optimized Ba4MnN4 structure.

abc: 6.4408 7.3896 9.4156
angles: 75.13 93.78 83.96
Fractional coordinates of all 18 atoms:
N: 0.6900 0.0092 0.6586
N: 0.9521 0.7732 0.9024
N: 0.3100 0.9908 0.3414
Ba: 0.7662 0.4255 0.5710
Ba: 0.2403 0.4801 0.8934
N: 0.0324 0.3018 0.3805
Mn: 0.2009 0.2256 0.2612
Ba: 0.7353 0.0271 0.3721
N: 0.6043 0.6257 0.7792
N: 0.3957 0.3743 0.2208
Mn: 0.7991 0.7744 0.7388
Ba: 0.2338 0.5745 0.4290
Ba: 0.2434 0.8969 0.0890
Ba: 0.7566 0.1031 0.9110
N: 0.9676 0.6982 0.6195
Ba: 0.2647 0.9729 0.6279
N: 0.0479 0.2268 0.0976
Ba: 0.7597 0.5199 0.1066

* SG: P-1
* volume: 23.82 Å³ per atom
* DOS at the Fermi energy: 0.49 states/eV per atom
* excess energy over the best structure of this formula in the dataset: 0.00 eV/f.u.

---

Entry 2:
## Ca3TiI (PBE)

Data for a geometry-optimized Ca3TiI structure.

abc: 5.9946 5.9946 5.9946
angles: 90.00 90.00 90.00
Fractional coordinates of all 5 atoms:
I: 0.5000 0.5000 0.5000
Ca: 0.0000 0.0000 0.5000
Ti: 0.0000 0.0000 0.0000
Ca: 0.5000 0.0000 0.0000
Ca: 0.0000 0.5000 0.0000

* SG: Pm-3m
* volume: 43.08 Å³ per atom
* DOS at the Fermi energy: 0.62 states/eV per atom
* excess energy over the best structure of this formula in the dataset: 0.09 eV/f.u.

---

Entry 3:
## Li2Er3Hg4 (PBE)

Data for a geometry-optimized Li2Er3Hg4 structure.

abc: 5.1300 5.1794 9.0332
angles: 98.20 90.00 119.69
Fractional coordinates of all 9 atoms:
Er: 0.6272 0.2544 0.7423
Er: 0.0000 0.0000 0.0000
Hg: 0.0559 0.1119 0.3519
Hg: 0.9441 0.8881 0.6481
Hg: 0.6881 0.3762 0.1004
Li: 0.2750 0.5501 0.5955
Hg: 0.3119 0.6238 0.8996
Li: 0.7250 0.4499 0.4045
Er: 0.3728 0.7456 0.2577

* ΔH_f (0 K): -0.384 eV/atom
* SG: C2/m
* volume: 22.85 Å³ per atom
* DOS at the Fermi energy: 0.49 states/eV per atom

---

Entry 4:
## LaYNiAg (PBE)

Data for a geometry-optimized LaYNiAg structure.

abc: 5.1230 5.1230 5.1230
angles: 60.00 60.00 60.00
Fractional coordinates of all 4 atoms:
La: 0.5000 0.5000 0.5000
Y: 0.0000 0.0000 0.0000
Ag: 0.7500 0.7500 0.7500
Ni: 0.2500 0.2500 0.2500

* ΔH_f (0 K): -0.241 eV/atom
* SG: F-43m
* volume: 23.77 Å³ per atom
* DOS at the Fermi energy: 0.62 states/eV per atom

---

Entry 5:
## LiHo4S5 (PBE)

Data for a geometry-optimized LiHo4S5 structure.

abc: 5.4520 6.6916 6.6916
angles: 80.45 65.96 65.96
Fractional coordinates of all 10 atoms:
Li: 0.0012 0.0000 0.0000
Ho: 0.2018 0.1979 0.4006
S: 0.2946 0.8025 0.6103
Ho: 0.8003 0.8021 0.5994
Ho: 0.3997 0.4006 0.8021
Ho: 0.6024 0.5994 0.1979
S: 0.0971 0.6103 0.1975
S: 0.9049 0.3897 0.8025
S: 0.7074 0.1975 0.3897
S: 0.5009 0.0000 0.0000

* SG: I4/m
* uncorrected energy: -60.30 eV per cell
* volume: 20.36 Å³ per atom
* DOS at the Fermi energy: 0.36 states/eV per atom

---

Entry 6:
## Pm2AsBr (PBE)

Data for a geometry-optimized Pm2AsBr structure.

abc: 5.1846 5.1846 5.1846
angles: 60.00 60.00 60.00
Fractional coordinates of all 4 atoms:
Pm: 0.7500 0.7500 0.7500
As: 0.0000 0.0000 0.0000
Br: 0.5000 0.5000 0.5000
Pm: 0.2500 0.2500 0.2500

* SG: Fm-3m
* volume: 24.64 Å³ per atom
* DOS at the Fermi energy: 0.71 states/eV per atom
* excess energy over the best structure of this formula in the dataset: 0.81 eV/f.u.

---

Entry 7:
## CeCo2Ni3 (PBE)

Data for a geometry-optimized CeCo2Ni3 structure.

abc: 5.2643 5.2643 7.2502
angles: 68.71 68.71 60.00
Fractional coordinates of all 12 atoms:
Ni: 0.7210 0.7210 0.3185
Ni: 0.2790 0.2790 0.6815
Ni: 0.2395 0.7210 0.3185
Co: 0.0000 0.0000 0.0000
Ni: 0.2790 0.7605 0.6815
Co: 0.5000 0.5000 0.0000
Ni: 0.7605 0.2790 0.6815
Ce: 0.7743 0.7743 0.6771
Co: 0.0000 0.5000 0.0000
Ce: 0.2257 0.2257 0.3229
Co: 0.5000 0.0000 0.0000
Ni: 0.7210 0.2395 0.3185

* ΔH_f (0 K): -0.076 eV/atom
* SG: R-3m
* volume: 13.16 Å³ per atom
* DOS at the Fermi energy: 0.97 states/eV per atom

---

Entry 8:
## NaSn5Te6 (PBE)

Data for a geometry-optimized NaSn5Te6 structure.

abc: 7.7725 7.8031 7.7987
angles: 59.98 80.43 70.59
Fractional coordinates of all 12 atoms:
Te: 0.7479 0.0838 0.3386
Te: 0.7479 0.4224 0.6614
Sn: 0.0000 0.6648 0.6704
Te: 0.2521 0.9162 0.6614
Te: 0.2484 0.2551 0.0000
Sn: 0.5000 0.8329 0.3341
Na: 0.0000 0.0000 0.0000
Sn: 0.5000 0.1671 0.6659
Sn: 0.0000 0.3352 0.3296
Sn: 0.5000 0.5000 0.0000
Te: 0.7516 0.7449 0.0000
Te: 0.2521 0.5776 0.3386

* SG: C2/m
* uncorrected energy: -44.51 eV per cell
* volume: 32.19 Å³ per atom
* DOS at the Fermi energy: 0.56 states/eV per atom

---

Entry 9:
## ThTiSe4 (PBE)

Data for a geometry-optimized ThTiSe4 structure.

abc: 6.8393 6.7900 6.8422
angles: 90.00 100.28 90.00
Fractional coordinates of all 12 atoms:
Ti: 0.0000 0.5000 0.5000
Se: 0.8818 0.6630 0.1856
Se: 0.7367 0.7038 0.6690
Se: 0.2633 0.2962 0.3310
Se: 0.1182 0.3370 0.8144
Th: 0.5000 0.5000 0.0000
Ti: 0.5000 0.0000 0.5000
Se: 0.6182 0.1630 0.8144
Se: 0.7633 0.2038 0.3310
Th: 0.0000 0.0000 0.0000
Se: 0.2367 0.7962 0.6690
Se: 0.3818 0.8370 0.1856

* SG: P2_1/c
* uncorrected energy: -72.80 eV per cell
* volume: 26.05 Å³ per atom
* DOS at the Fermi energy: 0.02 states/eV per atom

---

Entry 10:
## Cr2AsPb (PBE)

Data for a geometry-optimized Cr2AsPb structure.

abc: 4.4730 4.4730 6.2866
angles: 77.94 77.94 41.03
Fractional coordinates of all 4 atoms:
Cr: 0.7261 0.7261 0.8262
Cr: 0.0104 0.0104 0.9864
As: 0.2663 0.2663 0.1334
Pb: 0.4971 0.4971 0.5540

* ΔH_f (0 K): 0.344 eV/atom
* SG: Cm
* volume: 20.12 Å³ per atom
* DOS at the Fermi energy: 0.81 states/eV per atom
* excess energy over the best structure of this formula in the dataset: 0.50 eV/f.u.

---

Entry 11:
## Ho4GeAs3 (PBE)

Data for a geometry-optimized Ho4GeAs3 structure.

abc: 5.8072 5.8072 5.8072
angles: 90.00 90.00 90.00
Fractional coordinates of all 8 atoms:
As: 0.0000 0.5000 0.5000
Ho: 0.0000 0.0000 0.5000
Ho: 0.5000 0.5000 0.5000
Ho: 0.0000 0.5000 0.0000
Ho: 0.5000 0.0000 0.0000
As: 0.5000 0.0000 0.5000
Ge: 0.0000 0.0000 0.0000
As: 0.5000 0.5000 0.0000

* ΔH_f (0 K): -1.299 eV/atom
* SG: Pm-3m
* volume: 24.48 Å³ per atom
* DOS at the Fermi energy: 0.51 states/eV per atom

---

Entry 12:
## NbGeRu (PBE)

Data for a geometry-optimized NbGeRu structure.

abc: 3.0187 3.0187 5.5188
angles: 105.87 105.87 90.00
Fractional coordinates of all 3 atoms:
Nb: 0.6168 0.6168 0.2336
Ru: 0.9348 0.9348 0.8696
Ge: 0.2984 0.2984 0.5967

* ΔH_f (0 K): -0.300 eV/atom
* SG: I4mm
* volume: 15.46 Å³ per atom
* DOS at the Fermi energy: 0.68 states/eV per atom

---

Entry 13:
## Pr5SmEr4 (PBE)

Data for a geometry-optimized Pr5SmEr4 structure.

abc: 3.6002 10.5996 9.3419
angles: 83.73 101.11 90.00
Fractional coordinates of all 10 atoms:
Pr: 0.5000 0.5000 0.0000
Pr: 0.8100 0.6007 0.6199
Er: 0.9535 0.7634 0.9070
Er: 0.0465 0.2366 0.0930
Er: 0.6825 0.0860 0.3650
Pr: 0.8585 0.2282 0.7170
Pr: 0.1415 0.7718 0.2830
Pr: 0.1900 0.3993 0.3801
Er: 0.3175 0.9140 0.6350
Sm: 0.5000 0.0000 0.0000

* ΔH_f (0 K): 0.142 eV/atom
* SG: C2/m
* volume: 34.76 Å³ per atom
* DOS at the Fermi energy: 1.57 states/eV per atom
* excess energy over the best structure of this formula in the dataset: 1.25 eV/f.u.

---

Entry 14:
## Li2Nd2HoIn2 (PBE)

Data for a geometry-optimized Li2Nd2HoIn2 structure.

abc: 4.8859 4.8859 9.3910
angles: 74.92 74.92 60.00
Fractional coordinates of all 7 atoms:
In: 0.7336 0.7336 0.7992
Li: 0.3897 0.3897 0.8309
Nd: 0.1271 0.1271 0.6188
In: 0.2664 0.2664 0.2008
Nd: 0.8729 0.8729 0.3812
Li: 0.6103 0.6103 0.1691
Ho: 0.0000 0.0000 0.0000

* ΔH_f (0 K): -0.239 eV/atom
* SG: R-3m
* volume: 26.45 Å³ per atom
* DOS at the Fermi energy: 0.87 states/eV per atom

---

Entry 15:
## Ac12PmDy7 (PBE)

Data for a geometry-optimized Ac12PmDy7 structure.

abc: 6.6218 12.1740 12.1740
angles: 116.79 100.45 100.45
Fractional coordinates of all 20 atoms:
Ac: 0.4998 0.4127 0.5868
Dy: 0.8948 0.2402 0.9996
Ac: 0.9129 0.8259 0.4127
Ac: 0.0898 0.6551 0.6553
Dy: 0.8952 0.0004 0.2407
Dy: 0.6546 0.7593 0.7598
Dy: 0.5000 0.0000 0.0000
Dy: 0.3454 0.2407 0.2402
Ac: 0.5653 0.9998 0.6551
Ac: 0.9102 0.3449 0.3447
Dy: 0.1052 0.7598 0.0004
Ac: 0.4347 0.0002 0.3449
Ac: 0.4345 0.3447 0.9998
Ac: 0.9130 0.4132 0.8259
Pm: 0.0000 0.0000 0.0000
Dy: 0.1048 0.9996 0.7593
Ac: 0.5655 0.6553 0.0002
Ac: 0.5002 0.5873 0.4132
Ac: 0.0871 0.1741 0.5873
Ac: 0.0870 0.5868 0.1741

* ΔH_f (0 K): 0.223 eV/atom
* SG: R-3m
* volume: 41.10 Å³ per atom
* DOS at the Fermi energy: 1.57 states/eV per atom

---

Entry 16:
## NaTlFe2Br6 (PBE)

Data for a geometry-optimized NaTlFe2Br6 structure.

abc: 9.5109 9.5109 7.6182
angles: 102.09 102.09 83.22
Fractional coordinates of all 20 atoms:
Br: 0.3004 0.4768 0.3551
Tl: 0.1944 0.8056 0.2500
Tl: 0.8056 0.1944 0.7500
Na: 0.5974 0.4026 0.2500
Br: 0.1146 0.5936 0.8451
Br: 0.8982 0.8218 0.4872
Na: 0.4026 0.5974 0.7500
Br: 0.4064 0.8854 0.6549
Fe: 0.6994 0.8780 0.2377
Fe: 0.3006 0.1220 0.7623
Br: 0.6996 0.5232 0.6449
Br: 0.4768 0.3004 0.8551
Br: 0.1782 0.1018 0.0128
Br: 0.5936 0.1146 0.3451
Br: 0.5232 0.6996 0.1449
Br: 0.1018 0.1782 0.5128
Fe: 0.1220 0.3006 0.2623
Fe: 0.8780 0.6994 0.7377
Br: 0.8854 0.4064 0.1549
Br: 0.8218 0.8982 0.9872

* SG: C2/c
* uncorrected energy: -75.63 eV per cell
* volume: 32.85 Å³ per atom
* DOS at the Fermi energy: 1.05 states/eV per atom

---

Entry 17:
## LaGdBi (PBE)

Data for a geometry-optimized LaGdBi structure.

abc: 4.1569 5.3269 5.3269
angles: 120.00 90.00 90.00
Fractional coordinates of all 3 atoms:
Gd: 0.1198 0.0000 0.0000
La: 0.6436 0.6667 0.3333
Bi: 0.2366 0.3333 0.6667

* ΔH_f (0 K): -0.376 eV/atom
* SG: P3m1
* volume: 34.05 Å³ per atom
* DOS at the Fermi energy: 1.89 states/eV per atom
* excess energy over the best structure of this formula in the dataset: 0.56 eV/f.u.

---

Entry 18:
## H2Pd8Se (PBE)

Data for a geometry-optimized H2Pd8Se structure.

abc: 4.5452 5.2095 7.0109
angles: 109.03 108.91 90.00
Fractional coordinates of all 11 atoms:
Pd: 0.6014 0.5020 0.2028
Pd: 0.8190 0.6487 0.6381
H: 0.1645 0.6718 0.3291
Se: 0.5000 0.0000 0.0000
Pd: 0.1810 0.3513 0.3619
Pd: 0.3986 0.4980 0.7972
H: 0.8355 0.3282 0.6709
Pd: 0.0529 0.7951 0.1058
Pd: 0.2976 0.9387 0.5951
Pd: 0.9471 0.2049 0.8942
Pd: 0.7024 0.0613 0.4049

* SG: C2/m
* uncorrected energy: -52.48 eV per cell
* volume: 13.40 Å³ per atom
* DOS at the Fermi energy: 0.68 states/eV per atom

---

Entry 19:
## Be6Cu5Pd (PBE)

Data for a geometry-optimized Be6Cu5Pd structure.

abc: 3.8115 5.5559 6.0689
angles: 90.00 109.22 90.00
Fractional coordinates of all 12 atoms:
Cu: 0.6714 0.0000 0.3392
Pd: 0.0000 0.0000 0.0000
Be: 0.8305 0.2552 0.6632
Be: 0.5000 0.7441 0.0000
Cu: 0.0000 0.5000 0.0000
Be: 0.1695 0.2552 0.3368
Be: 0.8305 0.7448 0.6632
Cu: 0.3322 0.5000 0.6660
Cu: 0.6678 0.5000 0.3340
Be: 0.1695 0.7448 0.3368
Cu: 0.3286 0.0000 0.6608
Be: 0.5000 0.2559 0.0000

* ΔH_f (0 K): -0.178 eV/atom
* SG: P2/m
* volume: 10.11 Å³ per atom
* DOS at the Fermi energy: 0.28 states/eV per atom

---

Entry 20:
## TaNbHPd2 (PBE)

Data for a geometry-optimized TaNbHPd2 structure.

abc: 3.9781 3.9781 4.3031
angles: 90.00 90.00 90.00
Fractional coordinates of all 5 atoms:
Pd: 0.0000 0.5000 0.0000
Pd: 0.5000 0.0000 0.0000
H: 0.0000 0.0000 0.0000
Ta: 0.0000 0.0000 0.5000
Nb: 0.5000 0.5000 0.5000

* SG: P4/mmm
* volume: 13.62 Å³ per atom
* DOS at the Fermi energy: 0.60 states/eV per atom
* excess energy over the best structure of this formula in the dataset: 0.11 eV/f.u.

---

Entry 21:
## Sr3Li2Cl8 (PBE)

Data for a geometry-optimized Sr3Li2Cl8 structure.

abc: 8.6753 8.9200 11.4628
angles: 90.00 90.00 119.10
Fractional coordinates of all 26 atoms:
Cl: 0.8618 0.2411 0.9970
Cl: 0.9719 0.9439 0.2520
Cl: 0.7193 0.4385 0.2420
Cl: 0.5281 0.0561 0.7520
Li: 0.8949 0.7898 0.6031
Cl: 0.1207 0.7589 0.4970
Sr: 0.4121 0.3242 0.7500
Cl: 0.2193 0.4385 0.2580
Sr: 0.9121 0.3242 0.7500
Sr: 0.0879 0.6758 0.2500
Li: 0.3949 0.7898 0.8969
Cl: 0.2807 0.5615 0.7580
Cl: 0.3618 0.2411 0.5030
Sr: 0.5000 0.0000 0.5000
Li: 0.6051 0.2102 0.1031
Li: 0.1051 0.2102 0.3969
Cl: 0.8793 0.2411 0.5030
Sr: 0.0000 0.0000 0.0000
Cl: 0.6382 0.7589 0.4970
Cl: 0.7807 0.5615 0.7420
Cl: 0.3793 0.2411 0.9970
Cl: 0.1382 0.7589 0.0030
Cl: 0.0281 0.0561 0.7480
Cl: 0.6207 0.7589 0.0030
Cl: 0.4719 0.9439 0.2480
Sr: 0.5879 0.6758 0.2500

* SG: Cmce
* uncorrected energy: -105.37 eV per cell
* volume: 29.81 Å³ per atom
* DOS at the Fermi energy: 0.00 states/eV per atom

---

Entry 22:
## TbPr2SmTm5 (PBE)

Data for a geometry-optimized TbPr2SmTm5 structure.

abc: 8.6011 8.6011 9.8978
angles: 115.75 115.75 90.00
Fractional coordinates of all 18 atoms:
Tb: 0.7500 0.7500 0.5000
Tm: 0.5000 0.5000 0.0000
Sm: 0.2500 0.7500 0.5000
Tm: 0.3520 0.8520 0.2806
Tm: 0.0000 0.0000 0.0000
Tm: 0.9286 0.4286 0.2806
Pr: 0.8816 0.6184 0.0000
Tm: 0.8520 0.9286 0.2806
Tm: 0.4286 0.3520 0.2806
Pr: 0.1184 0.3816 0.0000
Tm: 0.1480 0.0714 0.7194
Pr: 0.3816 0.8816 0.0000
Tm: 0.6480 0.1480 0.7194
Tm: 0.0714 0.5714 0.7194
Tm: 0.5714 0.6480 0.7194
Tb: 0.2500 0.2500 0.5000
Sm: 0.7500 0.2500 0.5000
Pr: 0.6184 0.1184 0.0000

* ΔH_f (0 K): 0.262 eV/atom
* SG: I4/mcm
* volume: 32.09 Å³ per atom
* DOS at the Fermi energy: 1.10 states/eV per atom